[1]
Here is crystalline Zr2AsPd at its relaxed geometry from Alexandria. Energies are from GGA-PBE.

Summary:
Mass density ... 7.4 g cm⁻³
Volume ... 20.3 Å³ per atom
Energy of formation ... -0.492 eV/atom

```
data_Zr2AsPd
_chemical_formula_sum 'Zr8 As4 Pd4'
_symmetry_space_group_name_H-M 'I -4 2 d'
_symmetry_Int_Tables_number 122
_symmetry_space_group_name_Hall 'I -4 2bw'
_cell_length_a 7.337
_cell_length_b 7.337
_cell_length_c 6.035
_cell_angle_alpha 90.00
_cell_angle_beta 90.00
_cell_angle_gamma 90.00
loop_
_atom_site_label
_atom_site_fract_x
_atom_site_fract_y
_atom_site_fract_z
Zr1 0.250 0.250 0.125
As1 0.000 0.000 0.000
Pd1 0.000 0.000 0.500
```



[2]
Here is crystalline V8Cr at its relaxed geometry from Alexandria. Energies are from GGA-PBE.

Summary:
Mass density ... 6.4 g cm⁻³
Volume ... 13.2 Å³ per atom
Energy of formation ... -0.017 eV/atom

```
data_V8Cr
_chemical_formula_sum 'V16 Cr2'
_symmetry_space_group_name_H-M 'I 4/m m m'
_symmetry_Int_Tables_number 139
_symmetry_space_group_name_Hall '-I 4 2'
_cell_length_a 8.954
_cell_length_b 8.954
_cell_length_c 2.973
_cell_angle_alpha 90.00
_cell_angle_beta 90.00
_cell_angle_gamma 90.00
loop_
_atom_site_label
_atom_site_fract_x
_atom_site_fract_y
_atom_site_fract_z
V1 0.000 0.334 0.000
V2 0.163 0.163 0.500
Cr1 0.000 0.000 0.000
```



[3]
Here is crystalline AcPr2Co at its relaxed geometry from Alexandria. Energies are from GGA-PBE.

Summary:
E above lowest polymorph ... 0.0 meV/atom
Mass density ... 7.6 g cm⁻³
Volume ... 30.8 Å³ per atom
Energy of formation ... -0.037 eV/atom

```
data_AcPr2Co
_chemical_formula_sum 'Ac4 Pr8 Co4'
_symmetry_space_group_name_H-M 'P n m a'
_symmetry_Int_Tables_number 62
_cell_length_a 7.278
_cell_length_b 10.220
_cell_length_c 6.630
_cell_angle_alpha 90.00
_cell_angle_beta 90.00
_cell_angle_gamma 90.00
loop_
_symmetry_equiv_pos_as_xyz
'x,y,z'
'-x,-y,-z'
'-x+1/2,-y,z+1/2'
'x+1/2,y,-z+1/2'
'x+1/2,-y+1/2,-z+1/2'
'-x+1/2,y+1/2,z+1/2'
'-x,y+1/2,-z'
'x,-y+1/2,z'
loop_
_atom_site_label
_atom_site_fract_x
_atom_site_fract_y
_atom_site_fract_z
Ac1 0.049 0.250 0.146
Pr1 0.165 0.073 0.674
Co1 0.118 0.750 0.422
```



[4]
Here is crystalline LaAlIr2 at its relaxed geometry from Alexandria. Energies are from GGA-PBE.

Summary:
Mass density ... 11.5 g cm⁻³
Volume ... 19.8 Å³ per atom
Energy of formation ... -0.204 eV/atom

```
data_LaAlIr2
_chemical_formula_sum 'La1 Al1 Ir2'
_symmetry_space_group_name_H-M 'P 4 m m'
_symmetry_Int_Tables_number 99
_cell_length_a 3.612
_cell_length_b 3.612
_cell_length_c 6.078
_cell_angle_alpha 90.00
_cell_angle_beta 90.00
_cell_angle_gamma 90.00
loop_
_symmetry_equiv_pos_as_xyz
'x,y,z'
'-y,x,z'
'-x,-y,z'
'y,-x,z'
'-x,y,z'
'y,x,z'
'x,-y,z'
'-y,-x,z'
loop_
_atom_site_label
_atom_site_fract_x
_atom_site_fract_y
_atom_site_fract_z
La1 0.000 0.000 0.000
Al1 0.500 0.500 0.382
Ir1 0.000 0.000 0.485
Ir2 0.500 0.500 0.790
```



- Which formula does entry 4 have?
  LaAlIr2



- Among the records above, which one has the lowest mass density?
  V8Cr



- The highest mass density belongs to which entry?
  LaAlIr2